Record 1
# CrAsSe2S | the Alexandria database | meta-GGA SCAN | single point on PBEsol structure
# Electronic total energy, eV per cell: -85.8
data_CrAsSe2S
_chemical_formula_sum 'Cr1 As1 Se2 S1'
_cell_length_a 4.5003
_cell_length_b 4.5003
_cell_length_c 4.7338
_cell_angle_alpha 90.00
_cell_angle_beta 90.00
_cell_angle_gamma 90.00
_symmetry_space_group_name_H-M 'P 1'
_symmetry_Int_Tables_number 1
_symmetry_space_group_name_Hall 'P 1'
loop_
_atom_site_label
_atom_site_fract_x
_atom_site_fract_y
_atom_site_fract_z
Cr1 0.0000 0.0000 0.0000
As1 0.0000 0.0000 0.5000
Se1 0.0000 0.5000 0.0000
Se2 0.5000 0.0000 0.0000
S1 0.5000 0.5000 0.5000

Record 2
# BeCu8 | the Alexandria database | meta-GGA SCAN | single point on PBEsol structure
# Energy of formation from the pure elements, eV/f.u.: -0.2
data_BeCu8
_chemical_formula_sum 'Be1 Cu8'
_cell_length_a 5.5856
_cell_length_b 5.5856
_cell_length_c 5.5856
_cell_angle_alpha 95.64
_cell_angle_beta 95.64
_cell_angle_gamma 143.45
_symmetry_space_group_name_H-M 'P 1'
_symmetry_Int_Tables_number 1
_symmetry_space_group_name_Hall 'P 1'
loop_
_atom_site_label
_atom_site_fract_x
_atom_site_fract_y
_atom_site_fract_z
Be1 0.0000 0.0000 0.0000
Cu1 0.0000 0.3303 0.3303
Cu2 0.0000 0.6697 0.6697
Cu3 0.3303 0.0000 0.3303
Cu4 0.3372 0.3372 0.6744
Cu5 0.3372 0.6628 0.0000
Cu6 0.6628 0.3372 0.0000
Cu7 0.6628 0.6628 0.3256
Cu8 0.6697 0.0000 0.6697

Record 3
# SmSnPt | the Alexandria database | meta-GGA SCAN | single point on PBEsol structure
# Energy of formation from the pure elements, eV/f.u.: -3.8
data_SmSnPt
_chemical_formula_sum 'Sm3 Sn3 Pt3'
_cell_length_a 7.4790
_cell_length_b 7.4790
_cell_length_c 4.0397
_cell_angle_alpha 90.00
_cell_angle_beta 90.00
_cell_angle_gamma 120.00
_symmetry_space_group_name_H-M 'P 1'
_symmetry_Int_Tables_number 1
_symmetry_space_group_name_Hall 'P 1'
loop_
_atom_site_label
_atom_site_fract_x
_atom_site_fract_y
_atom_site_fract_z
Sm1 0.0000 0.4084 0.0000
Sm2 0.4084 0.0000 0.0000
Sm3 0.5916 0.5916 0.0000
Sn1 0.0000 0.7440 0.5000
Sn2 0.2560 0.2560 0.5000
Sn3 0.7440 0.0000 0.5000
Pt1 0.0000 0.0000 0.0000
Pt2 0.3333 0.6667 0.5000
Pt3 0.6667 0.3333 0.5000

Record 4
# LiTl | the Alexandria database | meta-GGA SCAN | single point on PBEsol structure
# Energy of formation from the pure elements, eV/f.u.: -0.5
data_LiTl
_chemical_formula_sum 'Li1 Tl1'
_cell_length_a 3.3097
_cell_length_b 3.3097
_cell_length_c 4.5532
_cell_angle_alpha 90.00
_cell_angle_beta 90.00
_cell_angle_gamma 120.00
_symmetry_space_group_name_H-M 'P 1'
_symmetry_Int_Tables_number 1
_symmetry_space_group_name_Hall 'P 1'
loop_
_atom_site_label
_atom_site_fract_x
_atom_site_fract_y
_atom_site_fract_z
Li1 0.0000 0.0000 0.0000
Tl1 0.3333 0.6667 0.5000

Record 5
# LaYTl | the Alexandria database | meta-GGA SCAN | single point on PBEsol structure
# Energy of formation from the pure elements, eV/f.u.: -1.1
data_LaYTl
_chemical_formula_sum 'La2 Y2 Tl2'
_cell_length_a 3.6310
_cell_length_b 3.6310
_cell_length_c 13.6669
_cell_angle_alpha 90.00
_cell_angle_beta 90.00
_cell_angle_gamma 90.00
_symmetry_space_group_name_H-M 'P 1'
_symmetry_Int_Tables_number 1
_symmetry_space_group_name_Hall 'P 1'
loop_
_atom_site_label
_atom_site_fract_x
_atom_site_fract_y
_atom_site_fract_z
La1 0.0000 0.0000 0.0000
La2 0.5000 0.5000 0.5000
Y1 0.0000 0.0000 0.3064
Y2 0.5000 0.5000 0.8064
Tl1 0.0000 0.0000 0.6653
Tl2 0.5000 0.5000 0.1653

Record 6
# GaGe | the Alexandria database | meta-GGA SCAN | single point on PBEsol structure
# Energy of formation from the pure elements, eV/f.u.: 0.4
data_GaGe
_chemical_formula_sum 'Ga4 Ge4'
_cell_length_a 5.6814
_cell_length_b 5.6814
_cell_length_c 5.6814
_cell_angle_alpha 90.00
_cell_angle_beta 90.00
_cell_angle_gamma 90.00
_symmetry_space_group_name_H-M 'P 1'
_symmetry_Int_Tables_number 1
_symmetry_space_group_name_Hall 'P 1'
loop_
_atom_site_label
_atom_site_fract_x
_atom_site_fract_y
_atom_site_fract_z
Ga1 0.0000 0.0000 0.0000
Ga2 0.0000 0.5000 0.5000
Ga3 0.5000 0.0000 0.5000
Ga4 0.5000 0.5000 0.0000
Ge1 0.2500 0.2500 0.7500
Ge2 0.2500 0.7500 0.2500
Ge3 0.7500 0.2500 0.2500
Ge4 0.7500 0.7500 0.7500